(1)
! PBE KY2Te, optimized geometry; values from VASP
&SYSTEM
  ibrav = 0, nat = 4, ntyp = 3
/
ATOMIC_SPECIES
K 39.10 K.upf
Y 88.91 Y.upf
Te 127.60 Te.upf
CELL_PARAMETERS angstrom
-2.358 2.358 5.730
2.358 -2.358 5.730
2.358 2.358 -5.730
ATOMIC_POSITIONS crystal
K 0.000 0.000 0.000
Y 0.500 0.500 0.000
Y 0.750 0.250 0.500
Te 0.250 0.750 0.500
! - spin magnetization (μB/atom) = 0.0000
! - N(E_F) (states/eV/f.u.) = 3.41
! - crystal system = tetragonal
! - E_tot (eV per atom) = -4.384

=====

(2)
! PBE K2Y3Te6, optimized geometry; values from VASP
&SYSTEM
  ibrav = 0, nat = 11, ntyp = 3
/
ATOMIC_SPECIES
K 39.10 K.upf
Y 88.91 Y.upf
Te 127.60 Te.upf
CELL_PARAMETERS angstrom
3.774 -6.536 0.000
3.774 6.536 0.000
-2.517 0.000 8.618
ATOMIC_POSITIONS crystal
K 0.167 0.833 0.000
K 0.833 0.167 0.000
Y 0.000 0.000 0.500
Y 0.332 0.668 0.500
Y 0.668 0.332 0.500
Te 0.072 0.403 0.709
Te 0.266 0.266 0.292
Te 0.403 0.072 0.709
Te 0.597 0.928 0.291
Te 0.734 0.734 0.708
Te 0.928 0.597 0.291
! - spin magnetization (μB/atom) = 0.0000
! - N(E_F) (states/eV/f.u.) = 5.05
! - crystal system = monoclinic
! - E_tot (eV per atom) = -4.986